(1)
Here is a relaxed SnBr2Cl crystal from Alexandria. Energies are from PBE-GGA.

```
4
Lattice="0.000 3.710 3.710 3.710 0.000 3.710 3.710 3.710 0.000" Properties=species:S:1:pos:R:3 pbc="T T T"
Sn 0.000 0.000 0.000
Br 1.855 1.855 1.855
Br 5.565 5.565 5.565
Cl 3.710 3.710 3.710
```

Computed properties:
Formation energy (no corrections)   -229 meV per atom
Total magnetic moment   0.0 μB/f.u.
Polymorph energy (0 for the lowest one)   219 meV/atom
E   -2.528 eV/atom
Density   5105 kg/m3

(2)
Here is a relaxed HfZr2Zn crystal from Alexandria. Energies are from PBE-GGA.

```
8
Lattice="-3.905 3.905 2.850 3.905 -3.905 2.850 3.905 3.905 -2.850" Properties=species:S:1:pos:R:3 pbc="T T T"
Hf 0.000 0.000 0.000
Hf 0.000 3.905 1.425
Zr 1.952 2.175 -0.712
Zr 5.635 1.952 0.712
Zr 1.952 1.730 2.137
Zr -1.730 1.952 3.562
Zn 3.905 0.000 1.425
Zn 0.000 0.000 2.850
```

Computed properties:
Total magnetic moment   0.0 μB/f.u.
E   -6.810 eV/atom
Density   8147 kg/m3
Energy relative to the elements   0.2706 eV/atom

(3)
Here is a relaxed LiLaSe2 crystal from Alexandria. Energies are from PBE-GGA.

```
4
Lattice="3.572 -3.573 0.000 3.572 3.573 0.000 -0.007 0.000 3.692" Properties=species:S:1:pos:R:3 pbc="T T T"
Li 0.000 0.000 0.000
La 3.572 0.000 0.000
Se 1.783 1.787 1.846
Se 1.783 -1.787 1.846
```

Computed properties:
Formation energy (no corrections)   -1481 meV per atom
Total magnetic moment   0.0 μB/f.u.
E   -4.934 eV/atom
Density   5352 kg/m3

Please write out number 3 again, unchanged.
Here is a relaxed LiLaSe2 crystal from Alexandria. Energies are from PBE-GGA.

```
4
Lattice="3.572 -3.573 0.000 3.572 3.573 0.000 -0.007 0.000 3.692" Properties=species:S:1:pos:R:3 pbc="T T T"
Li 0.000 0.000 0.000
La 3.572 0.000 0.000
Se 1.783 1.787 1.846
Se 1.783 -1.787 1.846
```

Computed properties:
Formation energy (no corrections)   -1481 meV per atom
Total magnetic moment   0.0 μB/f.u.
E   -4.934 eV/atom
Density   5352 kg/m3

What did the third record say?
Here is a relaxed LiLaSe2 crystal from Alexandria. Energies are from PBE-GGA.

```
4
Lattice="3.572 -3.573 0.000 3.572 3.573 0.000 -0.007 0.000 3.692" Properties=species:S:1:pos:R:3 pbc="T T T"
Li 0.000 0.000 0.000
La 3.572 0.000 0.000
Se 1.783 1.787 1.846
Se 1.783 -1.787 1.846
```

Computed properties:
Formation energy (no corrections)   -1481 meV per atom
Total magnetic moment   0.0 μB/f.u.
E   -4.934 eV/atom
Density   5352 kg/m3

Please write out number 2 again, unchanged.
Here is a relaxed HfZr2Zn crystal from Alexandria. Energies are from PBE-GGA.

```
8
Lattice="-3.905 3.905 2.850 3.905 -3.905 2.850 3.905 3.905 -2.850" Properties=species:S:1:pos:R:3 pbc="T T T"
Hf 0.000 0.000 0.000
Hf 0.000 3.905 1.425
Zr 1.952 2.175 -0.712
Zr 5.635 1.952 0.712
Zr 1.952 1.730 2.137
Zr -1.730 1.952 3.562
Zn 3.905 0.000 1.425
Zn 0.000 0.000 2.850
```

Computed properties:
Total magnetic moment   0.0 μB/f.u.
E   -6.810 eV/atom
Density   8147 kg/m3
Energy relative to the elements   0.2706 eV/atom